Version i
Material: Rb2SrF4
Method: DFT, GGA-PBE
State: optimized geometry

Cell: 6.6643 6.7514 14.2577 Å, 90.00 90.00 90.00°
Sites, in units of the cell vectors:
Rb: 0.0061 0.0451 0.1544
F: 0.2083 0.2905 0.4702
Rb: 0.9939 0.5451 0.3456
F: 0.7917 0.7095 0.5298
F: 0.2083 0.2095 0.9702
F: 0.4168 0.5379 0.6633
F: 0.0832 0.0379 0.6633
F: 0.9168 0.5379 0.8367
Sr: 0.5000 0.5000 0.5000
F: 0.5832 0.4621 0.3367
Sr: 0.0000 0.0000 0.5000
Sr: 0.5000 0.0000 0.0000
F: 0.7917 0.7905 0.0298
F: 0.2917 0.7905 0.4702
F: 0.4168 0.9621 0.1633
F: 0.2917 0.7095 0.9702
F: 0.0832 0.4621 0.1633
F: 0.5832 0.0379 0.8367
F: 0.7083 0.2095 0.5298
Rb: 0.5061 0.0451 0.3456
Rb: 0.4939 0.5451 0.1544
F: 0.7083 0.2905 0.0298
Rb: 0.5061 0.4549 0.8456
F: 0.9168 0.9621 0.3367
Rb: 0.0061 0.4549 0.6544
Rb: 0.9939 0.9549 0.8456
Rb: 0.4939 0.9549 0.6544
Sr: 0.0000 0.5000 0.0000

Properties
Calculated volume (A^3/atom): 22.911
Density (g cm⁻³): 3.5
Space group: Pbca, No. 61

=====

Version ii
Material: Rb2SrF4
Method: DFT, GGA-PBE
State: optimized geometry

Cell: 4.7577 4.7577 7.9104 Å, 72.50 72.50 90.00°
Sites, in units of the cell vectors:
F: 0.5000 0.0000 0.0000
F: 0.0000 0.5000 0.0000
Sr: 0.0000 0.0000 0.0000
Rb: 0.6475 0.6475 0.7050
F: 0.8331 0.8331 0.3337
F: 0.1669 0.1669 0.6663
Rb: 0.3525 0.3525 0.2950

Properties
Calculated volume (A^3/atom): 23.151
Density (g cm⁻³): 3.4
Space group: I4/mmm, No. 139

=====

Which of the structures shown above is the most stable? The most stable is version i.